1.
Here is PrPbS2 after structural relaxation from OQMD via LeMat-Bulk. Energies are from PBE-GGA.

Cell: 4.172 4.172 5.930 Å, 90.00 90.00 90.00°
Space group P4/mmm (No. 123)
One atom of each set of equivalent atoms:
Pr 0.000 0.000 0.000 (multiplicity 1)
Pb 0.500 0.500 0.500 (multiplicity 1)
S 0.000 0.000 0.500 (multiplicity 1)
S 0.500 0.500 0.000 (multiplicity 1)

calculated total energy	-21.54	eV per cell
spin magnetization	0.000	μB per atom

2.
Here is GdYHg2 after structural relaxation from OQMD via LeMat-Bulk. Energies are from PBE-GGA.

Cell: 3.718 3.718 7.498 Å, 90.00 90.00 90.00°
Space group P4/mmm (No. 123)
One atom of each set of equivalent atoms:
Gd 0.000 0.000 0.000 (multiplicity 1)
Y 0.000 0.000 0.500 (multiplicity 1)
Hg 0.500 0.500 0.256 (multiplicity 2)

excess energy over the best structure of this formula in the dataset	0.000	eV/atom
spin magnetization	0.040	μB per atom

3.
Here is Ta2W after structural relaxation from OQMD via LeMat-Bulk. Energies are from PBE-GGA.

Cell: 10.058 10.058 5.297 Å, 90.00 90.00 90.00°
Space group P4_2/mnm (No. 136)
One atom of each set of equivalent atoms:
Ta 0.066 0.263 0.000 (multiplicity 8)
Ta 0.107 0.107 0.500 (multiplicity 4)
Ta 0.181 0.819 0.251 (multiplicity 8)
W 0.000 0.000 0.000 (multiplicity 2)
W 0.035 0.373 0.500 (multiplicity 8)

excess energy over the best structure of this formula in the dataset	0.069	eV/atom
spin magnetization	0.000	μB per atom